This record from Alexandria describes a relaxed VFe2Ni4 crystal. The functional is PBE.

Computed properties:
Energy of formation from the pure elements (eV/f.u.): 0.4
ΔE to the lowest computed polymorph (eV/atom): 0.000
N(E_F) (states/eV/f.u.): 8.25
VASP energy (eV/atom): -6.967

Cell and atoms, written as CIF:
```
data_VFe2Ni4
_cell_length_a 6.1558
_cell_length_b 4.5571
_cell_length_c 6.6040
_cell_angle_alpha 90.00
_cell_angle_beta 117.76
_cell_angle_gamma 90.00
_space_group_name_H-M_alt 'P 1 21/m 1'
_space_group_IT_number 11
_space_group_name_Hall '-P 2yb'
loop_
_atom_site_label
_atom_site_type_symbol
_atom_site_fract_x
_atom_site_fract_y
_atom_site_fract_z
V1 V 0.2383 0.2500 0.2132
Fe1 Fe 0.2196 0.7500 0.9978
Fe2 Fe 0.3821 0.7500 0.4344
Ni1 Ni 0.0261 0.2500 0.4283
Ni2 Ni 0.0474 0.2500 0.8060
Ni3 Ni 0.3872 0.0020 0.7711
```